(one)
A plane-wave DFT calculation with PBE was carried out for a geometry-optimized PaB3 structure.

Calculated values
**D(E_F)**: 0.30 states/eV/atom
**SG**: No. 194

abc: 5.453 5.453 3.435
angles: 90.00 90.00 120.00
Positions (direct):
Pa 0.667 0.333 0.250
B 0.887 0.113 0.750
Pa 0.333 0.667 0.750
B 0.113 0.225 0.250
B 0.887 0.775 0.750
B 0.225 0.113 0.750
B 0.775 0.887 0.250
B 0.113 0.887 0.250


(two)
A plane-wave DFT calculation with PBE was carried out for a geometry-optimized PaB3 structure.

Calculated values
**D(E_F)**: 0.79 states/eV/atom
**SG**: No. 139

abc: 3.652 3.652 4.836
angles: 112.18 112.18 90.00
Positions (direct):
B 0.694 0.694 0.387
B 0.306 0.306 0.613
Pa 0.000 0.000 0.000
B 0.500 0.500 0.000


Calculated relative energies: (one) 0; (two) 630, given in meV/atom


(one)
A plane-wave DFT calculation with PBE was carried out for a geometry-optimized PaB4 structure.

Calculated values
**D(E_F)**: 0.97 states/eV/atom
**SG**: No. 221

abc: 4.708 4.708 4.708
angles: 90.00 90.00 90.00
Positions (direct):
B 0.500 0.000 0.500
B 0.000 0.500 0.500
B 0.500 0.500 0.000
Pa 0.500 0.500 0.500
B 0.000 0.000 0.000


(two)
A plane-wave DFT calculation with PBE was carried out for a geometry-optimized PaB4 structure.

Calculated values
**D(E_F)**: 0.49 states/eV/atom
**SG**: No. 127

abc: 4.011 7.104 7.104
angles: 90.00 90.00 90.00
Positions (direct):
B 0.500 0.539 0.322
B 0.500 0.088 0.412
B 0.500 0.039 0.178
B 0.500 0.588 0.088
B 0.800 0.000 0.000
B 0.500 0.678 0.539
Pa 0.000 0.190 0.690
Pa 0.000 0.310 0.190
B 0.500 0.461 0.678
B 0.500 0.912 0.588
B 0.200 0.500 0.500
B 0.500 0.322 0.461
B 0.500 0.961 0.822
B 0.200 0.000 0.000
B 0.500 0.822 0.039
Pa 0.000 0.810 0.310
B 0.800 0.500 0.500
Pa 0.000 0.690 0.810
B 0.500 0.412 0.912
B 0.500 0.178 0.961


Calculated relative energies: (one) 3571; (two) 0, given in meV/atom


(one)
A plane-wave DFT calculation with PBE was carried out for a geometry-optimized Pa3B structure.

Calculated values
**D(E_F)**: 1.54 states/eV/atom
**SG**: No. 44

abc: 3.334 5.772 5.489
angles: 121.72 107.68 90.00
Positions (direct):
Pa 0.312 0.669 0.625
Pa 0.688 0.045 0.375
Pa 0.500 0.388 0.000
B 0.000 0.065 0.000


(two)
A plane-wave DFT calculation with PBE was carried out for a geometry-optimized Pa3B structure.

Calculated values
**D(E_F)**: 2.05 states/eV/atom
**SG**: No. 123

abc: 4.239 4.237 4.458
angles: 90.00 90.00 90.00
Positions (direct):
Pa 0.500 0.083 0.000
Pa 0.000 0.083 0.500
B 0.000 0.583 0.000
Pa 0.500 0.583 0.500


Calculated relative energies: (one) 0; (two) 240, given in meV/atom